Material: AcU3Tl4S12
Method: DFT, PBE
State: relaxed

Output
Theoretical density, g/cm³: 6.0
M_tot, μB per cell: 1.06
Final energy, Ry per atom: -0.42957
SG: Im-3m

Lattice parameters (Å, degrees): 9.169 9.169 9.169 109.47 109.47 109.47
Positions (direct):
Ac 0.000 0.000 0.000
U 0.000 0.500 0.500
U 0.500 0.000 0.500
U 0.500 0.500 0.000
Tl 0.000 0.000 0.500
Tl 0.000 0.500 0.000
Tl 0.500 0.000 0.000
Tl 0.500 0.500 0.500
S 0.000 0.268 0.268
S 0.000 0.732 0.732
S 0.250 0.500 0.750
S 0.250 0.750 0.500
S 0.268 0.000 0.268
S 0.268 0.268 0.000
S 0.500 0.250 0.750
S 0.500 0.750 0.250
S 0.732 0.000 0.732
S 0.732 0.732 0.000
S 0.750 0.250 0.500
S 0.750 0.500 0.250

Material: Ac2UTl3S6
Method: DFT, PBE
State: relaxed

Output
Theoretical density, g/cm³: 6.9
M_tot, μB per cell: 3.00
Final energy, Ry per atom: -0.41062
SG: C2/m

Lattice parameters (Å, degrees): 7.476 7.476 7.863 99.12 99.12 119.90
Positions (direct):
Ac 0.167 0.833 0.000
Ac 0.833 0.167 0.000
U 0.500 0.500 0.000
Tl 0.000 0.000 0.500
Tl 0.334 0.666 0.500
Tl 0.666 0.334 0.500
S 0.119 0.432 0.796
S 0.257 0.257 0.208
S 0.432 0.119 0.796
S 0.568 0.881 0.204
S 0.743 0.743 0.792
S 0.881 0.568 0.204

Material: Ac2UTlS6
Method: DFT, PBE
State: relaxed

Output
Theoretical density, g/cm³: 5.8
M_tot, μB per cell: 1.00
Final energy, Ry per atom: -0.45825
SG: R3

Lattice parameters (Å, degrees): 7.783 7.783 7.783 57.14 57.14 57.14
Positions (direct):
Ac 0.000 0.000 0.000
Ac 0.483 0.483 0.483
U 0.686 0.686 0.686
Tl 0.208 0.208 0.208
S 0.047 0.439 0.783
S 0.320 0.861 0.619
S 0.439 0.783 0.047
S 0.619 0.320 0.861
S 0.783 0.047 0.439
S 0.861 0.619 0.320

Material: Ac3Tl3VS8
Method: DFT, PBE
State: relaxed

Output
Theoretical density, g/cm³: 5.8
M_tot, μB per cell: 1.00
Final energy, Ry per atom: -0.39451
SG: R-3m

Lattice parameters (Å, degrees): 8.917 8.917 8.917 56.45 56.45 56.45
Positions (direct):
Ac 0.000 0.500 0.500
Ac 0.500 0.000 0.500
Ac 0.500 0.500 0.000
Tl 0.000 0.000 0.500
Tl 0.000 0.500 0.000
Tl 0.500 0.000 0.000
V 0.000 0.000 0.000
S 0.204 0.204 0.782
S 0.204 0.782 0.204
S 0.218 0.796 0.796
S 0.261 0.261 0.261
S 0.739 0.739 0.739
S 0.782 0.204 0.204
S 0.796 0.218 0.796
S 0.796 0.796 0.218

Material: Ac3YTl4S8
Method: DFT, PBE
State: relaxed

Output
Theoretical density, g/cm³: 6.3
M_tot, μB per cell: 0.00
Final energy, Ry per atom: -0.39046
SG: R-3m

Lattice parameters (Å, degrees): 8.988 8.988 8.988 57.69 57.69 57.69
Positions (direct):
Ac 0.000 0.500 0.500
Ac 0.500 0.000 0.500
Ac 0.500 0.500 0.000
Y 0.000 0.000 0.000
Tl 0.000 0.000 0.500
Tl 0.000 0.500 0.000
Tl 0.500 0.000 0.000
Tl 0.500 0.500 0.500
S 0.226 0.226 0.752
S 0.226 0.752 0.226
S 0.248 0.774 0.774
S 0.262 0.262 0.262
S 0.738 0.738 0.738
S 0.752 0.226 0.226
S 0.774 0.248 0.774
S 0.774 0.774 0.248

Material: AcYTl2S4
Method: DFT, PBE
State: relaxed

Output
Theoretical density, g/cm³: 6.1
M_tot, μB per cell: 0.00
Final energy, Ry per atom: -0.40073
SG: P2/m

Lattice parameters (Å, degrees): 7.349 4.235 7.868 90.00 108.02 90.00
Positions (direct):
Ac 0.000 0.000 0.000
Y 0.500 0.500 0.000
Tl 0.000 0.500 0.500
Tl 0.500 0.000 0.500
S 0.255 0.500 0.207
S 0.283 0.000 0.799
S 0.717 0.000 0.201
S 0.745 0.500 0.793

Material: Ac2ZrTl3S6
Method: DFT, PBE
State: relaxed

Output
Theoretical density, g/cm³: 6.5
M_tot, μB per cell: 0.01
Final energy, Ry per atom: -0.39418
SG: C2/m

Lattice parameters (Å, degrees): 7.269 7.269 7.904 98.98 98.98 119.88
Positions (direct):
Ac 0.166 0.834 0.000
Ac 0.834 0.166 0.000
Zr 0.500 0.500 0.000
Tl 0.000 0.000 0.500
Tl 0.330 0.670 0.500
Tl 0.670 0.330 0.500
S 0.136 0.432 0.798
S 0.276 0.276 0.211
S 0.432 0.136 0.798
S 0.568 0.864 0.202
S 0.724 0.724 0.789
S 0.864 0.568 0.202

Material: AcTmS
Method: DFT, PBE
State: relaxed

Output
Theoretical density, g/cm³: 8.0
M_tot, μB per cell: 1.14
Final energy, Ry per atom: -0.39245
SG: P-6m2

Lattice parameters (Å, degrees): 3.824 3.824 14.031 90.00 90.00 120.00
Positions (direct):
Ac 0.000 0.000 0.219
Ac 0.000 0.000 0.781
Tm 0.000 0.000 0.500
Tm 0.667 0.333 0.000
S 0.667 0.333 0.381
S 0.667 0.333 0.619

Material: AcTmS3
Method: DFT, PBE
State: relaxed

Output
Theoretical density, g/cm³: 6.6
M_tot, μB per cell: 0.00
Final energy, Ry per atom: -0.46266
SG: Pmmn

Lattice parameters (Å, degrees): 4.121 6.708 8.895 90.00 90.00 90.00
Positions (direct):
Ac 0.250 0.250 0.150
Ac 0.750 0.750 0.850
Tm 0.250 0.750 0.403
Tm 0.750 0.250 0.597
S 0.250 0.512 0.656
S 0.250 0.750 0.082
S 0.250 0.988 0.656
S 0.750 0.012 0.344
S 0.750 0.250 0.918
S 0.750 0.488 0.344

Material: AcTm2S4
Method: DFT, PBE
State: relaxed

Output
Theoretical density, g/cm³: 6.8
M_tot, μB per cell: 0.00
Final energy, Ry per atom: -0.46479
SG: Cmcm

Lattice parameters (Å, degrees): 6.712 6.712 13.255 90.00 90.00 145.68
Positions (direct):
Ac 0.119 0.881 0.750
Ac 0.881 0.119 0.250
Tm 0.370 0.630 0.563
Tm 0.370 0.630 0.937
Tm 0.630 0.370 0.063
Tm 0.630 0.370 0.437
S 0.000 0.000 0.000
S 0.000 0.000 0.500
S 0.268 0.732 0.115
S 0.268 0.732 0.385
S 0.447 0.553 0.750
S 0.553 0.447 0.250
S 0.732 0.268 0.615
S 0.732 0.268 0.885

Material: AcTm4S8
Method: DFT, PBE
State: relaxed

Output
Theoretical density, g/cm³: 5.2
M_tot, μB per cell: 0.00
Final energy, Ry per atom: -0.45201
SG: R-3m

Lattice parameters (Å, degrees): 8.370 8.370 8.370 55.41 55.41 55.41
Positions (direct):
Ac 0.000 0.000 0.000
Tm 0.000 0.000 0.500
Tm 0.000 0.500 0.000
Tm 0.500 0.000 0.000
Tm 0.500 0.500 0.500
S 0.235 0.235 0.235
S 0.237 0.739 0.739
S 0.261 0.261 0.763
S 0.261 0.763 0.261
S 0.739 0.237 0.739
S 0.739 0.739 0.237
S 0.763 0.261 0.261
S 0.765 0.765 0.765

Material: AcTm2S5
Method: DFT, PBE
State: relaxed

Output
Theoretical density, g/cm³: 6.9
M_tot, μB per cell: 0.00
Final energy, Ry per atom: -0.44688
SG: I4/mcm

Lattice parameters (Å, degrees): 8.296 8.296 8.296 127.22 127.22 77.89
Positions (direct):
Ac 0.250 0.250 0.000
Ac 0.750 0.750 0.000
Tm 0.158 0.658 0.817
Tm 0.342 0.158 0.500
Tm 0.658 0.842 0.500
Tm 0.842 0.342 0.183
S 0.000 0.000 0.000
S 0.013 0.212 0.500
S 0.212 0.712 0.199
S 0.288 0.487 0.500
S 0.487 0.987 0.199
S 0.500 0.500 0.000
S 0.513 0.013 0.801
S 0.712 0.513 0.500
S 0.788 0.288 0.801
S 0.987 0.788 0.500